Record 1
Density functional theory data (PBE) for a relaxed structure of LuCd6.

POSCAR file:
```
LuCd6
1.0
-5.418 -2.511 3.083
5.465 -1.248 3.706
-0.727 6.638 -0.755
Cd Lu
6 1
Cartesian
1.208 -0.532 4.132
-1.888 3.411 1.902
-3.061 1.124 2.861
0.833 3.727 2.058
-1.513 -0.847 3.976
2.381 1.756 3.173
0.000 0.000 0.000
```

Calculated values
Space group: Im-3m


Record 2
Density functional theory data (PBE) for a relaxed structure of Lu2MgCd.

POSCAR file:
```
Lu2MgCd
1.0
-3.253 1.808 -0.777
-1.684 -0.984 4.762
2.064 4.418 1.643
Cd Lu Mg
1 2 1
Cartesian
-1.626 0.904 -0.388
-0.842 -0.492 2.381
1.032 2.209 0.821
-1.436 2.621 2.814
```

Calculated values
E above lowest polymorph (eV per formula unit): 0.00
Space group: P4/mmm


Total DFT energy (no corrections), record by record: -0.909 -3.063 eV/atom